1) As3PdN | PBE-GGA | relaxed

Cell lengths 4.815, 4.815, 4.815 Å; angles 90.00, 90.00, 90.00 degrees
Positions (direct):
As 0.000 0.000 0.500
As 0.000 0.500 0.000
As 0.500 0.000 0.000
Pd 0.000 0.000 0.000
N 0.500 0.500 0.500

---

2) As3PdN | PBE-GGA | relaxed

Cell lengths 4.309, 4.309, 4.309 Å; angles 90.00, 90.00, 90.00 degrees
Positions (direct):
As 0.000 0.000 0.500
As 0.000 0.500 0.000
As 0.500 0.000 0.000
Pd 0.500 0.500 0.500
N 0.000 0.000 0.000

---

Computed stability ranking, most favorable first: 2), 1)

---

1) As2PdN2 | PBE-GGA | relaxed

Cell lengths 6.241, 6.241, 6.241 Å; angles 146.69, 146.69, 47.82 degrees
Positions (direct):
As 0.167 0.167 0.000
As 0.833 0.833 0.000
Pd 0.500 0.500 0.000
N 0.250 0.750 0.500
N 0.750 0.250 0.500

---

2) As2PdN2 | PBE-GGA | relaxed

Cell lengths 7.349, 7.349, 2.940 Å; angles 90.00, 90.00, 90.00 degrees
Positions (direct):
As 0.206 0.294 0.000
As 0.294 0.794 0.000
As 0.706 0.206 0.000
As 0.794 0.706 0.000
Pd 0.000 0.000 0.000
Pd 0.500 0.500 0.000
N 0.184 0.684 0.500
N 0.316 0.184 0.500
N 0.684 0.816 0.500
N 0.816 0.316 0.500

---

Computed stability ranking, most favorable first: 2), 1)

---

1) AsPdSe2N | PBE-GGA | relaxed

Cell lengths 5.148, 5.148, 3.510 Å; angles 90.00, 90.00, 90.00 degrees
Positions (direct):
As 0.000 0.000 0.000
Pd 0.500 0.500 0.500
Se 0.000 0.500 0.000
Se 0.500 0.000 0.000
N 0.000 0.000 0.500

---

2) AsPdSe2N | PBE-GGA | relaxed

Cell lengths 5.079, 5.079, 4.774 Å; angles 90.00, 90.00, 90.00 degrees
Positions (direct):
As 0.000 0.000 0.000
Pd 0.000 0.000 0.500
Se 0.000 0.500 0.500
Se 0.500 0.000 0.500
N 0.500 0.500 0.000

---

Computed stability ranking, most favorable first: 1), 2)